A plane-wave DFT calculation with GGA+U was carried out for an optimized crystal structure of PmMnAlO4.

Unit cell a=6.3351 b=6.3351 c=6.3351 alpha=120.87 beta=117.09 gamma=91.81
Sites, in units of the cell vectors:
Pm 0.0000 0.0000 0.0000
Pm 0.5000 0.0000 0.5000
Mn 0.5000 0.0000 0.0000
Mn 0.5000 0.5000 0.5000
Al 0.1295 0.3795 0.7500
Al 0.8705 0.6205 0.2500
O 0.2195 0.7350 0.4844
O 0.2494 0.2650 0.9844
O 0.2526 0.2665 0.5139
O 0.2526 0.7387 0.9861
O 0.7474 0.2613 0.0139
O 0.7474 0.7335 0.4861
O 0.7506 0.7350 0.0156
O 0.7805 0.2650 0.5156

Summary:
SG ... No. 74
Magnetization ... 5.000 μB per formula unit
Uncorrected energy ... -107.6 eV for the cell shown